A relaxed Y2CoAs crystal, computed with PBE-GGA.

Cell lengths 7.717, 4.818, 3.625 Å; angles 89.97, 62.03, 128.63 degrees
Sites, in units of the cell vectors:
As (0.000, 0.500, 0.500)
Y (0.500, 0.000, 0.500)
Co (0.500, 0.500, 0.000)
Y (0.000, 0.000, 0.000)

SG = No. 123
Formation enthalpy at 0 K = -568 meV/atom
Electronic total energy = -6.739 eV per atom